This record from Alexandria via LeMat-Bulk describes crystalline KIr2Cl at its relaxed geometry. The functional is PBEsol.

For the uncorrected formation energy, the calculation gives 1.8 eV/f.u. The polymorph energy (0 for the lowest one) comes out at 1.26 eV/f.u. The calculation puts the density of states at the Fermi level at 0.8996 states/eV/atom. For the final energy, the calculation gives -5.241 eV per atom.

The structure belongs to space group Immm (No. 71); the cell edges are 2.770, 4.553 and 11.089 Å and the angles 90.00°, 90.00° and 90.00°. The inequivalent atoms are K at (0.000, 0.000, 0.000), Ir at (0.000, 0.500, 0.224) and Cl at (0.000, 0.000, 0.500).